This record from the Alexandria database describes crystalline Ga2IrRh5 at its relaxed geometry. The functional is PBE.

## Properties
Density of states at the Fermi level   23.5 states/eV per cell
Total moment   0.0 μB per formula unit
Calculated total energy   -106.32 eV for the cell shown
Formation enthalpy at 0 K   -1.49 eV/f.u.

Cell: 4.456 5.326 9.808 Å, 90.00 90.00 90.00°
Fractional coordinates of all 16 atoms:
Rh 0.000 0.795 0.742
Rh 0.500 0.658 0.886
Rh 0.000 0.295 0.758
Rh 0.000 0.705 0.242
Rh 0.000 0.000 0.000
Rh 0.000 0.500 0.500
Rh 0.500 0.342 0.114
Rh 0.000 0.205 0.258
Rh 0.500 0.842 0.386
Rh 0.500 0.158 0.614
Ir 0.000 0.500 0.000
Ir 0.000 0.000 0.500
Ga 0.500 0.148 0.873
Ga 0.500 0.852 0.127
Ga 0.500 0.648 0.627
Ga 0.500 0.352 0.373